Entry 1:
DFT (PBE) results for a geometry-optimized LaSm5Sb6 structure.

```
data_LaSm5Sb6
_cell_length_a 7.792
_cell_length_b 13.497
_cell_length_c 7.792
_cell_angle_alpha 90.00
_cell_angle_beta 109.50
_cell_angle_gamma 90.00
_symmetry_space_group_name_H-M 'C 1 2/m 1'
_symmetry_Int_Tables_number 12
_symmetry_space_group_name_Hall '-C 2y'
loop_
_atom_site_label
_atom_site_fract_x
_atom_site_fract_y
_atom_site_fract_z
La1 0.000 0.000 0.000
Sm1 0.000 0.165 0.500
Sm2 0.000 0.333 0.000
Sm3 0.000 0.500 0.500
Sb1 0.246 0.500 0.251
Sb2 0.247 0.331 0.747
```

## Properties
DFT total energy in eV per cell: -135.1
DOS(E_F) in states/eV/cell: 3.41
Formation energy without anion corrections in meV per atom: -1191.5
Volume in Å³ per cell: 773

=====

Entry 2:
DFT (PBE) results for a geometry-optimized La5Sm5Sb6 structure.

```
data_La5Sm5Sb6
_cell_length_a 6.534
_cell_length_b 16.341
_cell_length_c 9.377
_cell_angle_alpha 90.00
_cell_angle_beta 90.00
_cell_angle_gamma 90.00
_symmetry_space_group_name_H-M 'A m m 2'
_symmetry_Int_Tables_number 38
_symmetry_space_group_name_Hall 'A 2 -2'
loop_
_atom_site_label
_atom_site_fract_x
_atom_site_fract_y
_atom_site_fract_z
La1 0.000 0.000 0.000
La2 0.250 0.166 0.748
Sm1 0.000 0.127 0.374
Sm2 0.500 0.000 0.494
Sm3 0.500 0.127 0.122
Sb1 0.000 0.000 0.625
Sb2 0.000 0.193 0.058
Sb3 0.500 0.000 0.868
Sb4 0.500 0.190 0.438
```

## Properties
DFT total energy in eV per cell: -177.1
DOS(E_F) in states/eV/cell: 35.90
Formation energy without anion corrections in meV per atom: -975.0
Volume in Å³ per cell: 1001

=====

Entry 3:
DFT (PBE) results for a geometry-optimized La2Sm2Sb3 structure.

```
data_La2Sm2Sb3
_cell_length_a 9.541
_cell_length_b 9.541
_cell_length_c 9.541
_cell_angle_alpha 90.00
_cell_angle_beta 90.00
_cell_angle_gamma 90.00
_symmetry_space_group_name_H-M 'I 21 3'
_symmetry_Int_Tables_number 199
_symmetry_space_group_name_Hall 'I 2b 2c 3'
loop_
_atom_site_label
_atom_site_fract_x
_atom_site_fract_y
_atom_site_fract_z
La1 0.176 0.176 0.176
Sm1 0.069 0.431 0.569
Sb1 0.000 0.250 0.866
```

## Properties
DFT total energy in eV per cell: -157.1
DOS(E_F) in states/eV/cell: 29.63
Formation energy without anion corrections in meV per atom: -1089.1
Volume in Å³ per cell: 868

=====

Entry 4:
DFT (PBE) results for a geometry-optimized La5Sm3Sb8 structure.

```
data_La5Sm3Sb8
_cell_length_a 9.1384
_cell_length_b 9.1384
_cell_length_c 22.3779
_cell_angle_alpha 90.00
_cell_angle_beta 90.00
_cell_angle_gamma 120.00
_symmetry_space_group_name_H-M 'R -3 m'
_symmetry_Int_Tables_number 166
_symmetry_space_group_name_Hall '-R 3 2"'
loop_
_atom_site_label
_atom_site_fract_x
_atom_site_fract_y
_atom_site_fract_z
La1 0.0000 0.0000 0.0000
La2 0.0000 0.0000 0.5000
La3 0.0000 0.5000 0.0000
Sm1 0.0000 0.5000 0.5000
Sb1 0.0000 0.0000 0.2474
Sb2 0.0035 0.5017 0.7517
```

## Properties
DFT total energy in eV per cell: -274.7
DOS(E_F) in states/eV/cell: 8.49
Formation energy without anion corrections in meV per atom: -1236.3
Volume in Å³ per cell: 1618